Record 1
## LaTb2Pm2Pr4 (PBE-GGA)

Data for LaTb2Pm2Pr4 after structural relaxation.

Geometry as CIF:
```
data_LaTb2Pm2Pr4
_chemical_formula_sum 'La2 Tb4 Pm4 Pr8'
_space_group_name_H-M_alt 'C 1 2/m 1'
_space_group_IT_number 12
_space_group_name_Hall '-C 2y'
_cell_length_a 15.576
_cell_length_b 5.200
_cell_length_c 8.200
_cell_angle_alpha 90.00
_cell_angle_beta 108.44
_cell_angle_gamma 90.00
loop_
_atom_site_label
_atom_site_type_symbol
_atom_site_fract_x
_atom_site_fract_y
_atom_site_fract_z
_atom_site_occupancy
La1 La 0.000 0.000 0.000 1
Tb1 Tb 0.169 0.500 0.999 1
Pm1 Pm 0.112 0.000 0.667 1
Pr1 Pr 0.055 0.500 0.332 1
Pr2 Pr 0.222 0.000 0.330 1
```

Results
As for the total energy: -85.311 eV/cell. As for the total magnetization: 0.00 μB per atom.

---

Record 2
## La6Tb2PmPr (PBE-GGA)

Data for La6Tb2PmPr after structural relaxation.

Geometry as CIF:
```
data_La6Tb2PmPr
_chemical_formula_sum 'La12 Tb4 Pm2 Pr2'
_space_group_name_H-M_alt 'C 1 2/m 1'
_space_group_IT_number 12
_space_group_name_Hall '-C 2y'
_cell_length_a 11.357
_cell_length_b 7.253
_cell_length_c 9.015
_cell_angle_alpha 90.00
_cell_angle_beta 103.01
_cell_angle_gamma 90.00
loop_
_atom_site_label
_atom_site_type_symbol
_atom_site_fract_x
_atom_site_fract_y
_atom_site_fract_z
_atom_site_occupancy
La1 La 0.137 0.000 0.435 1
La2 La 0.178 0.276 0.800 1
Tb1 Tb 0.092 0.500 0.159 1
Pm1 Pm 0.000 0.500 0.500 1
Pr1 Pr 0.000 0.000 0.000 1
```

Results
As for the total energy: -93.041 eV/cell. As for the total magnetization: 0.00 μB per atom.

---

Record 3
## La2TbPm5Pr (PBE-GGA)

Data for La2TbPm5Pr after structural relaxation.

Geometry as CIF:
```
data_La2TbPm5Pr
_chemical_formula_sum 'La4 Tb2 Pm10 Pr2'
_space_group_name_H-M_alt 'P 4/m b m'
_space_group_IT_number 127
_space_group_name_Hall '-P 4 2ab'
_cell_length_a 8.827
_cell_length_b 8.827
_cell_length_c 8.195
_cell_angle_alpha 90.00
_cell_angle_beta 90.00
_cell_angle_gamma 90.00
loop_
_atom_site_label
_atom_site_type_symbol
_atom_site_fract_x
_atom_site_fract_y
_atom_site_fract_z
_atom_site_occupancy
La1 La 0.119 0.381 0.000 1
Tb1 Tb 0.000 0.500 0.500 1
Pm1 Pm 0.000 0.000 0.000 1
Pm2 Pm 0.216 0.716 0.281 1
Pr1 Pr 0.000 0.000 0.500 1
```

Results
As for the total energy: -81.763 eV/cell. As for the total magnetization: 0.00 μB per atom.

---

Record 4
## La6TbPmPr2 (PBE-GGA)

Data for La6TbPmPr2 after structural relaxation.

Geometry as CIF:
```
data_La6TbPmPr2
_chemical_formula_sum 'La24 Tb4 Pm4 Pr8'
_space_group_name_H-M_alt 'C 1 2/c 1'
_space_group_IT_number 15
_space_group_name_Hall '-C 2yc'
_cell_length_a 9.932
_cell_length_b 15.501
_cell_length_c 9.330
_cell_angle_alpha 90.00
_cell_angle_beta 90.47
_cell_angle_gamma 90.00
loop_
_atom_site_label
_atom_site_type_symbol
_atom_site_fract_x
_atom_site_fract_y
_atom_site_fract_z
_atom_site_occupancy
La1 La 0.074 0.148 0.094 1
La2 La 0.074 0.352 0.908 1
La3 La 0.249 0.282 0.319 1
Tb1 Tb 0.000 0.432 0.250 1
Pm1 Pm 0.000 0.072 0.750 1
Pr1 Pr 0.249 0.455 0.564 1
```

Results
As for the total energy: -189.807 eV/cell. As for the total magnetization: 0.00 μB per atom.

---

Record 5
## La2Tb2PmPr (PBE-GGA)

Data for La2Tb2PmPr after structural relaxation.

Geometry as CIF:
```
data_La2Tb2PmPr
_chemical_formula_sum 'La4 Tb4 Pm2 Pr2'
_space_group_name_H-M_alt 'P m c 21'
_space_group_IT_number 26
_space_group_name_Hall 'P 2c -2'
_cell_length_a 5.809
_cell_length_b 10.039
_cell_length_c 7.164
_cell_angle_alpha 90.00
_cell_angle_beta 90.00
_cell_angle_gamma 90.00
loop_
_atom_site_label
_atom_site_type_symbol
_atom_site_fract_x
_atom_site_fract_y
_atom_site_fract_z
_atom_site_occupancy
La1 La 0.000 0.000 0.000 1
La2 La 0.500 0.169 0.250 1
Tb1 Tb 0.000 0.334 0.250 1
Tb2 Tb 0.500 0.167 0.750 1
Pm1 Pm 0.500 0.500 0.000 1
Pr1 Pr 0.000 0.335 0.751 1
```

Results
As for the total energy: -56.558 eV/cell. As for the total magnetization: 0.00 μB per atom.

---

Record 6
## La3Tb2Pm6Pr (PBE-GGA)

Data for La3Tb2Pm6Pr after structural relaxation.

Geometry as CIF:
```
data_La3Tb2Pm6Pr
_chemical_formula_sum 'La6 Tb4 Pm12 Pr2'
_space_group_name_H-M_alt 'C 1 2/m 1'
_space_group_IT_number 12
_space_group_name_Hall '-C 2y'
_cell_length_a 6.349
_cell_length_b 11.003
_cell_length_c 12.172
_cell_angle_alpha 90.00
_cell_angle_beta 100.10
_cell_angle_gamma 90.00
loop_
_atom_site_label
_atom_site_type_symbol
_atom_site_fract_x
_atom_site_fract_y
_atom_site_fract_z
_atom_site_occupancy
La1 La 0.000 0.000 0.000 1
La2 La 0.000 0.333 0.000 1
Tb1 Tb 0.000 0.167 0.500 1
Pm1 Pm 0.248 0.000 0.746 1
Pm2 Pm 0.249 0.333 0.746 1
Pr1 Pr 0.000 0.500 0.500 1
```

Results
As for the total energy: -114.235 eV/cell. As for the total magnetization: 0.00 μB per atom.

---

Record 7
## La2Tb3Pm6Pr (PBE-GGA)

Data for La2Tb3Pm6Pr after structural relaxation.

Geometry as CIF:
```
data_La2Tb3Pm6Pr
_chemical_formula_sum 'La4 Tb6 Pm12 Pr2'
_space_group_name_H-M_alt 'C 1 2/m 1'
_space_group_IT_number 12
_space_group_name_Hall '-C 2y'
_cell_length_a 6.329
_cell_length_b 10.968
_cell_length_c 12.113
_cell_angle_alpha 90.00
_cell_angle_beta 100.09
_cell_angle_gamma 90.00
loop_
_atom_site_label
_atom_site_type_symbol
_atom_site_fract_x
_atom_site_fract_y
_atom_site_fract_z
_atom_site_occupancy
La1 La 0.000 0.167 0.000 1
Tb1 Tb 0.000 0.000 0.500 1
Tb2 Tb 0.000 0.334 0.500 1
Pm1 Pm 0.248 0.167 0.745 1
Pm2 Pm 0.248 0.500 0.745 1
Pr1 Pr 0.000 0.500 0.000 1
```

Results
As for the total energy: -113.617 eV/cell. As for the total magnetization: 0.00 μB per atom.

---

Record 8
## La2Tb2PmPr4 (PBE-GGA)

Data for La2Tb2PmPr4 after structural relaxation.

Geometry as CIF:
```
data_La2Tb2PmPr4
_chemical_formula_sum 'La4 Tb4 Pm2 Pr8'
_space_group_name_H-M_alt 'C 1 2/m 1'
_space_group_IT_number 12
_space_group_name_Hall '-C 2y'
_cell_length_a 19.275
_cell_length_b 3.718
_cell_length_c 9.866
_cell_angle_alpha 90.00
_cell_angle_beta 115.80
_cell_angle_gamma 90.00
loop_
_atom_site_label
_atom_site_type_symbol
_atom_site_fract_x
_atom_site_fract_y
_atom_site_fract_z
_atom_site_occupancy
La1 La 0.167 0.000 0.498 1
Tb1 Tb 0.149 0.500 0.167 1
Pm1 Pm 0.000 0.500 0.500 1
Pr1 Pr 0.018 0.000 0.836 1
Pr2 Pr 0.186 0.500 0.833 1
```

Results
As for the total energy: -85.840 eV/cell. As for the total magnetization: 0.00 μB per atom.

---

Record 9
## LaTb4PmPr2 (PBE-GGA)

Data for LaTb4PmPr2 after structural relaxation.

Geometry as CIF:
```
data_LaTb4PmPr2
_chemical_formula_sum 'La1 Tb4 Pm1 Pr2'
_space_group_name_H-M_alt 'P 1 2/m 1'
_space_group_IT_number 10
_space_group_name_Hall '-P 2y'
_cell_length_a 6.302
_cell_length_b 3.652
_cell_length_c 11.963
_cell_angle_alpha 90.00
_cell_angle_beta 100.31
_cell_angle_gamma 90.00
loop_
_atom_site_label
_atom_site_type_symbol
_atom_site_fract_x
_atom_site_fract_y
_atom_site_fract_z
_atom_site_occupancy
La1 La 0.000 0.000 0.000 1
Tb1 Tb 0.250 0.000 0.749 1
Tb2 Tb 0.250 0.500 0.251 1
Pm1 Pm 0.000 0.500 0.500 1
Pr1 Pr 0.500 0.000 0.500 1
Pr2 Pr 0.500 0.500 0.000 1
```

Results
As for the total energy: -37.645 eV/cell. As for the total magnetization: 0.00 μB per atom.

---

Record 10
## La2TbPm3Pr6 (PBE-GGA)

Data for La2TbPm3Pr6 after structural relaxation.

Geometry as CIF:
```
data_La2TbPm3Pr6
_chemical_formula_sum 'La4 Tb2 Pm6 Pr12'
_space_group_name_H-M_alt 'C 1 2/m 1'
_space_group_IT_number 12
_space_group_name_Hall '-C 2y'
_cell_length_a 6.403
_cell_length_b 11.091
_cell_length_c 12.243
_cell_angle_alpha 90.00
_cell_angle_beta 100.14
_cell_angle_gamma 90.00
loop_
_atom_site_label
_atom_site_type_symbol
_atom_site_fract_x
_atom_site_fract_y
_atom_site_fract_z
_atom_site_occupancy
La1 La 0.000 0.167 0.000 1
Tb1 Tb 0.000 0.500 0.000 1
Pm1 Pm 0.000 0.000 0.500 1
Pm2 Pm 0.000 0.334 0.500 1
Pr1 Pr 0.249 0.500 0.748 1
Pr2 Pr 0.250 0.166 0.749 1
```

Results
As for the total energy: -114.469 eV/cell. As for the total magnetization: 0.00 μB per atom.